# ReRh2Au

An optimized crystal structure of ReRh2Au (PBE, the Alexandria database).

```
data_ReRh2Au
_cell_length_a 4.882
_cell_length_b 4.882
_cell_length_c 4.882
_cell_angle_alpha 133.41
_cell_angle_beta 133.41
_cell_angle_gamma 68.02
_symmetry_space_group_name_H-M 'P 1'
_symmetry_Int_Tables_number 1
loop_
_symmetry_equiv_pos_as_xyz
'x,y,z'
loop_
_atom_site_label
_atom_site_type_symbol
_atom_site_fract_x
_atom_site_fract_y
_atom_site_fract_z
Re1 Re 0.000 0.000 0.000
Rh1 Rh 0.500 0.500 0.000
Rh2 Rh 0.750 0.250 0.500
Au1 Au 0.250 0.750 0.500
```

## Properties
DFT formation energy, eV per atom: 0.22
Offset from the most stable computed form, eV/atom: 0.281



# ReRh2Au

An optimized crystal structure of ReRh2Au (PBE, the Alexandria database).

```
data_ReRh2Au
_cell_length_a 2.773
_cell_length_b 4.657
_cell_length_c 4.796
_cell_angle_alpha 90.00
_cell_angle_beta 90.00
_cell_angle_gamma 90.00
_symmetry_space_group_name_H-M 'P 1'
_symmetry_Int_Tables_number 1
loop_
_symmetry_equiv_pos_as_xyz
'x,y,z'
loop_
_atom_site_label
_atom_site_type_symbol
_atom_site_fract_x
_atom_site_fract_y
_atom_site_fract_z
Re1 Re 0.000 0.000 0.000
Rh1 Rh 0.000 0.500 0.500
Rh2 Rh 0.500 0.500 0.000
Au1 Au 0.500 0.000 0.500
```

## Properties
DFT formation energy, eV per atom: 0.45
Offset from the most stable computed form, eV/atom: 0.512



# ReRh2Au

An optimized crystal structure of ReRh2Au (PBE, the Alexandria database).

```
data_ReRh2Au
_cell_length_a 5.713
_cell_length_b 5.713
_cell_length_c 5.713
_cell_angle_alpha 103.29
_cell_angle_beta 103.29
_cell_angle_gamma 122.69
_symmetry_space_group_name_H-M 'P 1'
_symmetry_Int_Tables_number 1
loop_
_symmetry_equiv_pos_as_xyz
'x,y,z'
loop_
_atom_site_label
_atom_site_type_symbol
_atom_site_fract_x
_atom_site_fract_y
_atom_site_fract_z
Re1 Re 0.000 0.000 0.000
Re2 Re 0.750 0.250 0.500
Rh1 Rh 0.084 0.625 0.959
Rh2 Rh 0.375 0.334 0.459
Rh3 Rh 0.666 0.125 0.041
Rh4 Rh 0.875 0.916 0.541
Au1 Au 0.250 0.750 0.500
Au2 Au 0.500 0.500 0.000
```

## Properties
DFT formation energy, eV per atom: 0.56
Offset from the most stable computed form, eV/atom: 0.617



# ReRhAu2

An optimized crystal structure of ReRhAu2 (PBE, the Alexandria database).

```
data_ReRhAu2
_cell_length_a 5.843
_cell_length_b 5.843
_cell_length_c 5.843
_cell_angle_alpha 101.72
_cell_angle_beta 101.72
_cell_angle_gamma 126.42
_symmetry_space_group_name_H-M 'P 1'
_symmetry_Int_Tables_number 1
loop_
_symmetry_equiv_pos_as_xyz
'x,y,z'
loop_
_atom_site_label
_atom_site_type_symbol
_atom_site_fract_x
_atom_site_fract_y
_atom_site_fract_z
Re1 Re 0.000 0.000 0.000
Re2 Re 0.750 0.250 0.500
Rh1 Rh 0.250 0.750 0.500
Rh2 Rh 0.500 0.500 0.000
Au1 Au 0.119 0.625 0.994
Au2 Au 0.375 0.369 0.494
Au3 Au 0.631 0.125 0.006
Au4 Au 0.875 0.881 0.506
```

## Properties
DFT formation energy, eV per atom: 0.96
Offset from the most stable computed form, eV/atom: 0.848



# ReRhAu3

An optimized crystal structure of ReRhAu3 (PBE, the Alexandria database).

```
data_ReRhAu3
_cell_length_a 4.951
_cell_length_b 4.951
_cell_length_c 4.951
_cell_angle_alpha 90.00
_cell_angle_beta 90.00
_cell_angle_gamma 90.00
_symmetry_space_group_name_H-M 'P 1'
_symmetry_Int_Tables_number 1
loop_
_symmetry_equiv_pos_as_xyz
'x,y,z'
loop_
_atom_site_label
_atom_site_type_symbol
_atom_site_fract_x
_atom_site_fract_y
_atom_site_fract_z
Re1 Re 0.000 0.000 0.000
Rh1 Rh 0.500 0.500 0.500
Au1 Au 0.000 0.000 0.500
Au2 Au 0.000 0.500 0.000
Au3 Au 0.500 0.000 0.000
```

## Properties
DFT formation energy, eV per atom: 1.73
Offset from the most stable computed form, eV/atom: 0.000



# ScReRh2Au

An optimized crystal structure of ScReRh2Au (PBE, the Alexandria database).

```
data_ScReRh2Au
_cell_length_a 4.557
_cell_length_b 4.557
_cell_length_c 4.805
_cell_angle_alpha 90.00
_cell_angle_beta 90.00
_cell_angle_gamma 90.00
_symmetry_space_group_name_H-M 'P 1'
_symmetry_Int_Tables_number 1
loop_
_symmetry_equiv_pos_as_xyz
'x,y,z'
loop_
_atom_site_label
_atom_site_type_symbol
_atom_site_fract_x
_atom_site_fract_y
_atom_site_fract_z
Sc1 Sc 0.000 0.000 0.000
Re1 Re 0.000 0.000 0.500
Rh1 Rh 0.000 0.500 0.000
Rh2 Rh 0.500 0.000 0.000
Au1 Au 0.500 0.500 0.500
```

## Properties
DFT formation energy, eV per atom: 1.43



# ReTe2RhAu

An optimized crystal structure of ReTe2RhAu (PBE, the Alexandria database).

```
data_ReTe2RhAu
_cell_length_a 5.179
_cell_length_b 5.179
_cell_length_c 4.817
_cell_angle_alpha 90.00
_cell_angle_beta 90.00
_cell_angle_gamma 90.00
_symmetry_space_group_name_H-M 'P 1'
_symmetry_Int_Tables_number 1
loop_
_symmetry_equiv_pos_as_xyz
'x,y,z'
loop_
_atom_site_label
_atom_site_type_symbol
_atom_site_fract_x
_atom_site_fract_y
_atom_site_fract_z
Re1 Re 0.000 0.000 0.000
Te1 Te 0.000 0.500 0.500
Te2 Te 0.500 0.000 0.500
Rh1 Rh 0.000 0.000 0.500
Au1 Au 0.500 0.500 0.000
```



# ReRuAu3

An optimized crystal structure of ReRuAu3 (PBE, the Alexandria database).

```
data_ReRuAu3
_cell_length_a 4.979
_cell_length_b 4.979
_cell_length_c 4.979
_cell_angle_alpha 90.00
_cell_angle_beta 90.00
_cell_angle_gamma 90.00
_symmetry_space_group_name_H-M 'P 1'
_symmetry_Int_Tables_number 1
loop_
_symmetry_equiv_pos_as_xyz
'x,y,z'
loop_
_atom_site_label
_atom_site_type_symbol
_atom_site_fract_x
_atom_site_fract_y
_atom_site_fract_z
Re1 Re 0.000 0.000 0.000
Ru1 Ru 0.500 0.500 0.500
Au1 Au 0.000 0.000 0.500
Au2 Au 0.000 0.500 0.000
Au3 Au 0.500 0.000 0.000
```

## Properties
DFT formation energy, eV per atom: 1.88
Offset from the most stable computed form, eV/atom: 0.000



Sequential raw total energy output: -7.388, -7.156, -7.052, -5.633, -4.197, -5.919, -4.588, -4.434 eV/atom